Ba3TcBr at its PBEsol-relaxed geometry, computed with meta-GGA SCAN.

a = 6.0593 Å, b = 6.0593 Å, c = 6.0593 Å
α = 90.00°, β = 90.00°, γ = 90.00°
Closest atoms and distances in Å follow each position.
Fractional positions:
Br 0.0000 0.0000 0.0000  6 Ba 3.03
Tc 0.5000 0.5000 0.5000  12 Ba 4.28
Ba 0.0000 0.0000 0.5000  2 Br 3.03
Ba 0.0000 0.5000 0.0000  2 Br 3.03
Ba 0.5000 0.0000 0.0000  2 Br 3.03

Calculated values
- E (eV/cell) = -171.94
- raw formation energy (eV per formula unit) = 1.23
- V (Å³ per cell) = 222
- total magnetization (μB/f.u.) = 1.85